Entry 1:
Entry from Alexandria: an optimized crystal structure of Sm2CuAu3 (PBE).

abc: 3.598 4.641 7.999
angles: 90.00 90.00 90.00
Fractional positions:
Sm: 0.000 0.000 0.000
Sm: 0.000 0.500 0.496
Cu: 0.500 0.000 0.322
Au: 0.500 0.000 0.644
Au: 0.500 0.500 0.182
Au: 0.500 0.500 0.836

* M_tot: 0.00 μB per atom
* energy of formation: -0.6614 eV per atom
* final energy: -4.556 eV per atom

=====

Entry 2:
Entry from Alexandria: an optimized crystal structure of Sm2Cu2Au (PBE).

abc: 7.431 7.431 7.719
angles: 90.00 90.00 90.00
Fractional positions:
Sm: 0.180 0.320 0.000
Sm: 0.180 0.320 0.500
Sm: 0.320 0.820 0.000
Sm: 0.320 0.820 0.500
Sm: 0.680 0.180 0.000
Sm: 0.680 0.180 0.500
Sm: 0.820 0.680 0.000
Sm: 0.820 0.680 0.500
Cu: 0.118 0.618 0.250
Cu: 0.118 0.618 0.750
Cu: 0.382 0.118 0.250
Cu: 0.382 0.118 0.750
Cu: 0.618 0.882 0.250
Cu: 0.618 0.882 0.750
Cu: 0.882 0.382 0.250
Cu: 0.882 0.382 0.750
Au: 0.000 0.000 0.249
Au: 0.000 0.000 0.751
Au: 0.500 0.500 0.251
Au: 0.500 0.500 0.749

* M_tot: 0.00 μB per atom
* energy of formation: -0.3993 eV per atom
* final energy: -4.581 eV per atom

=====

Entry 3:
Entry from Alexandria: an optimized crystal structure of SmCu2Au9 (PBE).

abc: 8.711 8.711 8.711
angles: 99.70 99.70 131.53
Fractional positions:
Sm: 0.375 0.625 0.750
Sm: 0.625 0.375 0.250
Cu: 0.000 0.000 0.000
Cu: 0.000 0.000 0.500
Cu: 0.000 0.500 0.000
Cu: 0.500 0.000 0.500
Au: 0.120 0.554 0.322
Au: 0.120 0.797 0.566
Au: 0.125 0.875 0.250
Au: 0.203 0.268 0.322
Au: 0.203 0.880 0.934
Au: 0.268 0.203 0.822
Au: 0.268 0.446 0.066
Au: 0.446 0.268 0.566
Au: 0.446 0.880 0.178
Au: 0.554 0.120 0.822
Au: 0.554 0.732 0.434
Au: 0.732 0.554 0.934
Au: 0.732 0.797 0.178
Au: 0.797 0.120 0.066
Au: 0.797 0.732 0.678
Au: 0.875 0.125 0.750
Au: 0.880 0.203 0.434
Au: 0.880 0.446 0.678

* M_tot: 0.00 μB per atom
* energy of formation: -0.1967 eV per atom
* final energy: -3.731 eV per atom

=====

Entry 4:
Entry from Alexandria: an optimized crystal structure of SmCu6Au2 (PBE).

abc: 7.159 7.159 7.159
angles: 149.08 126.10 63.45
Fractional positions:
Sm: 0.000 0.000 0.000
Cu: 0.012 0.314 0.698
Cu: 0.319 0.500 0.819
Cu: 0.384 0.686 0.698
Cu: 0.616 0.314 0.302
Cu: 0.681 0.500 0.181
Cu: 0.988 0.686 0.302
Au: 0.373 0.873 0.500
Au: 0.627 0.127 0.500

* M_tot: 0.00 μB per atom
* energy of formation: -0.0048 eV per atom
* final energy: -3.988 eV per atom

=====

Entry 5:
Entry from Alexandria: an optimized crystal structure of Sm2CuAu (PBE).

abc: 3.623 3.623 7.191
angles: 90.00 90.00 90.00
Fractional positions:
Sm: 0.000 0.000 0.242
Sm: 0.000 0.000 0.758
Cu: 0.500 0.500 0.000
Au: 0.500 0.500 0.500

* M_tot: 0.00 μB per atom
* energy of formation: -0.4891 eV per atom
* final energy: -4.692 eV per atom

=====

Entry 6:
Entry from Alexandria: an optimized crystal structure of Sm3Cu4Au2 (PBE).

abc: 5.753 5.753 8.437
angles: 109.10 109.10 45.48
Fractional positions:
Sm: 0.000 0.000 0.000
Sm: 0.336 0.336 0.329
Sm: 0.664 0.664 0.671
Cu: 0.056 0.056 0.397
Cu: 0.271 0.271 0.951
Cu: 0.729 0.729 0.049
Cu: 0.944 0.944 0.603
Au: 0.384 0.384 0.721
Au: 0.616 0.616 0.279

* M_tot: 0.00 μB per atom
* energy of formation: -0.4433 eV per atom
* final energy: -4.565 eV per atom

=====

Entry 7:
Entry from Alexandria: an optimized crystal structure of Sm3Cu2Au3 (PBE).

abc: 5.621 5.621 16.158
angles: 90.00 90.00 136.19
Fractional positions:
Sm: 0.073 0.927 0.603
Sm: 0.073 0.927 0.897
Sm: 0.348 0.652 0.750
Sm: 0.652 0.348 0.250
Sm: 0.927 0.073 0.103
Sm: 0.927 0.073 0.397
Cu: 0.221 0.779 0.114
Cu: 0.221 0.779 0.386
Cu: 0.779 0.221 0.614
Cu: 0.779 0.221 0.886
Au: 0.367 0.633 0.250
Au: 0.370 0.630 0.538
Au: 0.370 0.630 0.962
Au: 0.630 0.370 0.038
Au: 0.630 0.370 0.462
Au: 0.633 0.367 0.750

* M_tot: 0.00 μB per atom
* energy of formation: -0.6053 eV per atom
* final energy: -4.628 eV per atom

=====

Entry 8:
Entry from Alexandria: an optimized crystal structure of SmCuAu4 (PBE).

abc: 5.537 5.537 5.537
angles: 60.00 60.00 60.00
Fractional positions:
Sm: 0.000 0.000 0.000
Cu: 0.750 0.750 0.750
Au: 0.376 0.376 0.376
Au: 0.376 0.376 0.873
Au: 0.376 0.873 0.376
Au: 0.873 0.376 0.376

* M_tot: 0.00 μB per atom
* energy of formation: -0.2942 eV per atom
* final energy: -3.948 eV per atom

=====

Entry 9:
Entry from Alexandria: an optimized crystal structure of Sm2CuAu (PBE).

abc: 5.842 4.650 7.716
angles: 90.00 111.30 90.00
Fractional positions:
Sm: 0.213 0.250 0.427
Sm: 0.229 0.250 0.928
Sm: 0.771 0.750 0.072
Sm: 0.787 0.750 0.573
Cu: 0.349 0.750 0.706
Cu: 0.651 0.250 0.294
Au: 0.341 0.750 0.212
Au: 0.659 0.250 0.788

* M_tot: 0.00 μB per atom
* energy of formation: -0.5140 eV per atom
* final energy: -4.717 eV per atom

=====

Entry 10:
Entry from Alexandria: an optimized crystal structure of Sm6Cu2Au (PBE).

abc: 8.583 8.583 8.583
angles: 111.10 109.73 107.60
Fractional positions:
Sm: 0.062 0.249 0.813
Sm: 0.177 0.273 0.450
Sm: 0.177 0.727 0.904
Sm: 0.326 0.021 0.696
Sm: 0.326 0.630 0.304
Sm: 0.436 0.249 0.187
Sm: 0.564 0.751 0.813
Sm: 0.674 0.370 0.696
Sm: 0.674 0.979 0.304
Sm: 0.823 0.273 0.096
Sm: 0.823 0.727 0.550
Sm: 0.938 0.751 0.187
Cu: 0.119 0.619 0.500
Cu: 0.355 0.000 0.355
Cu: 0.645 0.000 0.645
Cu: 0.881 0.381 0.500
Au: 0.000 0.000 0.000
Au: 0.500 0.500 0.000

* M_tot: 0.00 μB per atom
* energy of formation: -0.2435 eV per atom
* final energy: -4.664 eV per atom

=====

Entry 11:
Entry from Alexandria: an optimized crystal structure of Sm6Cu5Au (PBE).

abc: 8.018 8.018 7.104
angles: 90.00 90.00 143.13
Fractional positions:
Sm: 0.000 0.000 0.245
Sm: 0.000 0.000 0.755
Sm: 0.332 0.668 0.247
Sm: 0.332 0.668 0.753
Sm: 0.668 0.332 0.247
Sm: 0.668 0.332 0.753
Cu: 0.165 0.835 0.000
Cu: 0.171 0.829 0.500
Cu: 0.500 0.500 0.000
Cu: 0.829 0.171 0.500
Cu: 0.835 0.165 0.000
Au: 0.500 0.500 0.500

* M_tot: 0.00 μB per atom
* energy of formation: -0.2819 eV per atom
* final energy: -4.621 eV per atom

=====

Entry 12:
Entry from Alexandria: an optimized crystal structure of Sm5Cu2Au5 (PBE).

abc: 8.359 8.359 11.396
angles: 130.20 130.20 28.44
Fractional positions:
Sm: 0.000 0.000 0.000
Sm: 0.099 0.099 0.406
Sm: 0.198 0.198 0.816
Sm: 0.802 0.802 0.184
Sm: 0.901 0.901 0.594
Cu: 0.365 0.365 0.748
Cu: 0.635 0.635 0.252
Au: 0.260 0.260 0.335
Au: 0.428 0.428 0.142
Au: 0.500 0.500 0.500
Au: 0.572 0.572 0.858
Au: 0.740 0.740 0.665

* M_tot: 0.00 μB per atom
* energy of formation: -0.6545 eV per atom
* final energy: -4.669 eV per atom

=====

Entry 13:
Entry from Alexandria: an optimized crystal structure of SmCuAu2 (PBE).

abc: 3.500 3.500 6.525
angles: 90.00 90.00 90.00
Fractional positions:
Sm: 0.000 0.000 0.000
Cu: 0.000 0.000 0.500
Au: 0.500 0.500 0.286
Au: 0.500 0.500 0.714

* M_tot: 0.00 μB per atom
* energy of formation: -0.4478 eV per atom
* final energy: -4.290 eV per atom

=====

Entry 14:
Entry from Alexandria: an optimized crystal structure of SmCu4Au (PBE).

abc: 5.092 5.092 5.092
angles: 60.00 60.00 60.00
Fractional positions:
Sm: 0.000 0.000 0.000
Cu: 0.376 0.376 0.376
Cu: 0.376 0.376 0.871
Cu: 0.376 0.871 0.376
Cu: 0.871 0.376 0.376
Au: 0.750 0.750 0.750

* M_tot: 0.00 μB per atom
* energy of formation: -0.2962 eV per atom
* final energy: -4.360 eV per atom

=====

Entry 15:
Entry from Alexandria: an optimized crystal structure of Sm2CuAu (PBE).

abc: 5.120 5.120 3.623
angles: 90.00 90.00 90.00
Fractional positions:
Sm: 0.000 0.500 0.000
Sm: 0.500 0.000 0.000
Cu: 0.000 0.000 0.500
Au: 0.500 0.500 0.500

* M_tot: 0.00 μB per atom
* energy of formation: -0.4827 eV per atom
* final energy: -4.686 eV per atom

=====

Entry 16:
Entry from Alexandria: an optimized crystal structure of Sm8CuAu2 (PBE).

abc: 9.397 9.397 6.941
angles: 103.50 103.50 32.00
Fractional positions:
Sm: 0.027 0.027 0.278
Sm: 0.201 0.201 0.826
Sm: 0.337 0.337 0.525
Sm: 0.411 0.411 0.048
Sm: 0.589 0.589 0.952
Sm: 0.663 0.663 0.475
Sm: 0.799 0.799 0.174
Sm: 0.973 0.973 0.722
Cu: 0.500 0.500 0.500
Au: 0.187 0.187 0.238
Au: 0.813 0.813 0.762

* M_tot: 0.00 μB per atom
* energy of formation: -0.3060 eV per atom
* final energy: -4.706 eV per atom

=====

Entry 17:
Entry from Alexandria: an optimized crystal structure of Sm2Cu3Sn4Au (PBE).

abc: 4.477 4.477 10.890
angles: 90.00 90.00 90.00
Fractional positions:
Sm: 0.000 0.500 0.245
Sm: 0.500 0.000 0.755
Cu: 0.000 0.000 0.000
Cu: 0.000 0.500 0.632
Cu: 0.500 0.000 0.368
Sn: 0.000 0.000 0.500
Sn: 0.000 0.500 0.862
Sn: 0.500 0.000 0.138
Sn: 0.500 0.500 0.500
Au: 0.500 0.500 0.000

* M_tot: 0.00 μB per atom
* energy of formation: -0.4180 eV per atom
* final energy: -4.520 eV per atom

=====

Entry 18:
Entry from Alexandria: an optimized crystal structure of SmTlCuAu (PBE).

abc: 4.952 4.952 4.952
angles: 60.00 60.00 60.00
Fractional positions:
Sm: 0.000 0.000 0.000
Tl: 0.500 0.500 0.500
Cu: 0.250 0.250 0.250
Au: 0.750 0.750 0.750

* M_tot: 0.00 μB per atom
* energy of formation: -0.3421 eV per atom
* final energy: -3.957 eV per atom

=====

Entry 19:
Entry from Alexandria: an optimized crystal structure of Sm2Zn4CuAu3 (PBE).

abc: 4.098 4.098 11.745
angles: 90.00 90.00 90.00
Fractional positions:
Sm: 0.000 0.500 0.242
Sm: 0.500 0.000 0.758
Zn: 0.000 0.000 0.500
Zn: 0.000 0.500 0.868
Zn: 0.500 0.000 0.132
Zn: 0.500 0.500 0.500
Cu: 0.500 0.500 0.000
Au: 0.000 0.000 0.000
Au: 0.000 0.500 0.648
Au: 0.500 0.000 0.352

* M_tot: 0.00 μB per atom
* energy of formation: -0.4485 eV per atom
* final energy: -3.295 eV per atom

=====

Entry 20:
Entry from Alexandria: an optimized crystal structure of SmZnCu2Au4 (PBE).

abc: 8.993 8.993 8.993
angles: 28.58 28.58 28.58
Fractional positions:
Sm: 0.000 0.000 0.000
Zn: 0.500 0.500 0.500
Cu: 0.241 0.241 0.241
Cu: 0.759 0.759 0.759
Au: 0.130 0.130 0.130
Au: 0.397 0.397 0.397
Au: 0.603 0.603 0.603
Au: 0.870 0.870 0.870

* M_tot: 0.00 μB per atom
* energy of formation: -0.3137 eV per atom
* final energy: -3.726 eV per atom

=====

Entry 21:
Entry from Alexandria: an optimized crystal structure of SmZn2CuAu4 (PBE).

abc: 9.145 9.145 9.145
angles: 28.07 28.07 28.07
Fractional positions:
Sm: 0.000 0.000 0.000
Zn: 0.239 0.239 0.239
Zn: 0.761 0.761 0.761
Cu: 0.500 0.500 0.500
Au: 0.132 0.132 0.132
Au: 0.398 0.398 0.398
Au: 0.602 0.602 0.602
Au: 0.868 0.868 0.868

* M_tot: 0.00 μB per atom
* energy of formation: -0.3728 eV per atom
* final energy: -3.432 eV per atom

=====

Entry 22:
Entry from Alexandria: an optimized crystal structure of SmZnCuAu (PBE).

abc: 4.796 4.796 4.796
angles: 60.00 60.00 60.00
Fractional positions:
Sm: 0.000 0.000 0.000
Zn: 0.500 0.500 0.500
Cu: 0.250 0.250 0.250
Au: 0.750 0.750 0.750

* M_tot: 0.00 μB per atom
* energy of formation: -0.3593 eV per atom
* final energy: -3.701 eV per atom